## PtCl3 (PBE)

Data for a relaxed structure of PtCl3.

a = 3.525 Å, b = 6.444 Å, c = 6.449 Å
α = 46.85°, β = 90.00°, γ = 90.00°
Sites, in units of the cell vectors:
1 Cl 0.500 0.750 0.750
2 Cl 0.000 0.118 0.118
3 Cl 0.000 0.382 0.382
4 Pt 0.500 0.250 0.250

Values from the calculation:
Fermi-level density of states = 0.56 states/eV/f.u.
E_form (uncorrected) = -333 meV/atom
Symmetry = P2/m
Spin magnetization = 0.00 μB/f.u.